# Li2MgP

A relaxed Li2MgP crystal (PBE-GGA, the Alexandria database).

Properties
Calculated total energy ... -46.573 eV per cell

The structure in CIF format:
```
data_Li2MgP
_chemical_formula_sum 'Li8 Mg4 P4'
_symmetry_space_group_name_H-M 'I -4 2 d'
_symmetry_Int_Tables_number 122
_symmetry_space_group_name_Hall 'I -4 2bw'
_cell_length_a 3.927
_cell_length_b 3.927
_cell_length_c 18.056
_cell_angle_alpha 90.00
_cell_angle_beta 90.00
_cell_angle_gamma 90.00
loop_
_atom_site_label
_atom_site_type_symbol
_atom_site_fract_x
_atom_site_fract_y
_atom_site_fract_z
Li1 Li 0.184 0.750 0.125
Mg1 Mg 0.000 0.000 0.500
P1 P 0.000 0.000 0.000
```